[1]
The following is a PBE calculation of crystalline VZn2Co2 at its relaxed geometry, from Alexandria via LeMat-Bulk.

Summary:
Energy above the most stable polymorph in this dataset in eV/atom: 0.260
Raw total energy in eV/atom: -4.863
Density in g/cm³: 7.5
Crystal system: tetragonal
Energy of formation from the pure elements in eV/atom: 0.3129

Cell: 3.262 3.262 12.476 Å, 90.00 90.00 90.00°
Space group I4/mmm (No. 139)
Unique sites:
V: 0.000 0.000 0.000 x2
Zn: 0.000 0.500 0.250 x4
Co: 0.000 0.000 0.407 x4

[2]
The following is a PBE calculation of crystalline V2Zn2Co at its relaxed geometry, from Alexandria via LeMat-Bulk.

Summary:
Raw total energy in eV/atom: -5.298
Density in g/cm³: 7.1
Crystal system: tetragonal
Energy of formation from the pure elements in eV/atom: 0.2801

Cell: 6.336 6.336 3.387 Å, 90.00 90.00 90.00°
Space group P4/mbm (No. 127)
Unique sites:
V: 0.168 0.332 0.000 x4
Zn: 0.135 0.635 0.500 x4
Co: 0.000 0.000 0.500 x2

[3]
The following is a PBE calculation of crystalline VZn2Co2 at its relaxed geometry, from Alexandria via LeMat-Bulk.

Summary:
Energy above the most stable polymorph in this dataset in eV/atom: 0.044
Raw total energy in eV/atom: -5.078
Density in g/cm³: 7.6
Crystal system: tetragonal
Energy of formation from the pure elements in eV/atom: 0.0972

Cell: 5.884 5.884 3.783 Å, 90.00 90.00 90.00°
Space group P4/mbm (No. 127)
Unique sites:
V: 0.000 0.000 0.000 x2
Zn: 0.168 0.332 0.500 x4
Co: 0.135 0.635 0.000 x4

[4]
The following is a PBE calculation of crystalline VZn2Co at its relaxed geometry, from Alexandria via LeMat-Bulk.

Summary:
Energy above the most stable polymorph in this dataset in eV/atom: 0.022
Raw total energy in eV/atom: -4.636
Density in g/cm³: 7.7
Crystal system: tetragonal
Energy of formation from the pure elements in eV/atom: 0.0568

Cell: 3.569 3.569 4.056 Å, 90.00 90.00 90.00°
Space group P4/mmm (No. 123)
Unique sites:
V: 0.000 0.000 0.000 x1
Zn: 0.000 0.500 0.500 x2
Co: 0.500 0.500 0.000 x1

[5]
The following is a PBE calculation of crystalline VZn2Co2 at its relaxed geometry, from Alexandria via LeMat-Bulk.

Summary:
Energy above the most stable polymorph in this dataset in eV/atom: 0.103
Raw total energy in eV/atom: -5.020
Density in g/cm³: 7.9
Crystal system: tetragonal
Energy of formation from the pure elements in eV/atom: 0.1559

Cell: 6.863 6.863 2.664 Å, 90.00 90.00 90.00°
Space group P4/mbm (No. 127)
Unique sites:
V: 0.000 0.000 0.000 x2
Zn: 0.125 0.375 0.000 x4
Co: 0.176 0.676 0.500 x4

[6]
The following is a PBE calculation of crystalline VZnCo at its relaxed geometry, from Alexandria via LeMat-Bulk.

Summary:
Energy above the most stable polymorph in this dataset in eV/atom: 0.105
Raw total energy in eV/atom: -5.884
Density in g/cm³: 7.7
Crystal system: tetragonal
Energy of formation from the pure elements in eV/atom: -0.0510

Cell: 2.821 2.821 9.477 Å, 90.00 90.00 90.00°
Space group I4mm (No. 107)
Unique sites:
V: 0.000 0.000 0.000 x2
Zn: 0.000 0.000 0.691 x2
Co: 0.000 0.000 0.358 x2

[7]
The following is a PBE calculation of crystalline V2ZnCo3 at its relaxed geometry, from Alexandria via LeMat-Bulk.

Summary:
Raw total energy in eV/atom: -6.916
Density in g/cm³: 8.0
Crystal system: tetragonal
Energy of formation from the pure elements in eV/atom: -0.1110

Cell: 2.684 2.684 9.859 Å, 90.00 90.00 90.00°
Space group P4/mmm (No. 123)
Unique sites:
V: 0.000 0.000 0.171 x2
Zn: 0.000 0.000 0.500 x1
Co: 0.500 0.500 0.000 x1
Co: 0.500 0.500 0.327 x2

[8]
The following is a PBE calculation of crystalline V3ZnCo at its relaxed geometry, from Alexandria via LeMat-Bulk.

Summary:
Energy above the most stable polymorph in this dataset in eV/atom: 0.000
Raw total energy in eV/atom: -6.426
Density in g/cm³: 5.8
Crystal system: cubic
Energy of formation from the pure elements in eV/atom: 0.7215

Cell: 4.309 4.309 4.309 Å, 90.00 90.00 90.00°
Space group Pm-3m (No. 221)
Unique sites:
V: 0.000 0.000 0.500 x3
Zn: 0.500 0.500 0.500 x1
Co: 0.000 0.000 0.000 x1

[9]
The following is a PBE calculation of crystalline VZnCo at its relaxed geometry, from Alexandria via LeMat-Bulk.

Summary:
Energy above the most stable polymorph in this dataset in eV/atom: 0.384
Raw total energy in eV/atom: -5.604
Density in g/cm³: 6.6
Crystal system: orthorhombic
Energy of formation from the pure elements in eV/atom: 0.2286

Cell: 5.628 2.649 5.939 Å, 90.00 90.00 90.00°
Space group Pmma (No. 51)
Unique sites:
V: 0.000 0.000 0.000 x2
Zn: 0.000 0.000 0.500 x2
Co: 0.250 0.500 0.231 x2

[10]
The following is a PBE calculation of crystalline VZn3Co at its relaxed geometry, from Alexandria via LeMat-Bulk.

Summary:
Energy above the most stable polymorph in this dataset in eV/atom: 0.000
Raw total energy in eV/atom: -3.390
Density in g/cm³: 5.8
Crystal system: cubic
Energy of formation from the pure elements in eV/atom: 0.6191

Cell: 4.451 4.451 4.451 Å, 90.00 90.00 90.00°
Space group Pm-3m (No. 221)
Unique sites:
V: 0.000 0.000 0.000 x1
Zn: 0.000 0.500 0.500 x3
Co: 0.500 0.500 0.500 x1

[11]
The following is a PBE calculation of crystalline VZn2Co at its relaxed geometry, from Alexandria via LeMat-Bulk.

Summary:
Energy above the most stable polymorph in this dataset in eV/atom: 0.000
Raw total energy in eV/atom: -4.658
Density in g/cm³: 7.7
Crystal system: tetragonal
Energy of formation from the pure elements in eV/atom: 0.0350

Cell: 2.589 2.589 7.732 Å, 90.00 90.00 90.00°
Space group P4/mmm (No. 123)
Unique sites:
V: 0.000 0.000 0.000 x1
Zn: 0.500 0.500 0.265 x2
Co: 0.000 0.000 0.500 x1

[12]
The following is a PBE calculation of crystalline VZnCo at its relaxed geometry, from Alexandria via LeMat-Bulk.

Summary:
Energy above the most stable polymorph in this dataset in eV/atom: 0.000
Raw total energy in eV/atom: -5.988
Density in g/cm³: 7.7
Crystal system: tetragonal
Energy of formation from the pure elements in eV/atom: -0.1555

Cell: 2.907 2.907 8.905 Å, 90.00 90.00 90.00°
Space group P4/nmm (No. 129, origin choice 2)
Unique sites:
V: 0.250 0.250 0.089 x2
Zn: 0.250 0.250 0.406 x2
Co: 0.250 0.250 0.765 x2

Number 1: total magnetization 0.00 μB per formula unit. Number 2: total magnetization 1.20 μB per formula unit. Number 3: total magnetization 0.01 μB per formula unit. Number 4: total magnetization 0.62 μB per formula unit. Number 5: total magnetization 1.08 μB per formula unit. Number 6: total magnetization 0.00 μB per formula unit. Number 7: total magnetization 0.11 μB per formula unit. Number 8: total magnetization 0.00 μB per formula unit. Number 9: total magnetization 0.00 μB per formula unit. Number 10: total magnetization 3.66 μB per formula unit. Number 11: total magnetization 1.38 μB per formula unit. Number 12: total magnetization 0.25 μB per formula unit.